# BeAu

A relaxed structure of BeAu (PBE-GGA, Alexandria).

For the calculated formation energy, the calculation gives -0.091 eV per atom. As for the calculated volume: 53 Å³/cell.

Cell: 4.6287 5.4549 2.9596 Å, 74.26 71.36 48.52°
Last column: nearest neighbours and their distance in Å.
Sites, in units of the cell vectors:
Be 0.5316 0.4564 0.5060  7 Au 2.47-2.64, 2 Be 2.65
Be 0.3851 0.1269 0.2440  7 Au 2.47-2.64, 2 Be 2.65
Au 0.0403 0.9832 0.9883  7 Be 2.47-2.64
Au 0.8764 0.6001 0.7617  7 Be 2.47-2.64



# BeAu2

A relaxed structure of BeAu2 (PBE-GGA, Alexandria).

For the calculated formation energy, the calculation gives -0.107 eV per atom. As for the calculated volume: 133 Å³/cell. The distance to the lowest polymorph of the same formula comes out at 20 meV per atom.

Cell: 6.5476 6.5476 3.5908 Å, 90.00 90.00 120.00°
Last column: nearest neighbours and their distance in Å.
Sites, in units of the cell vectors:
Au 0.2688 0.0000 0.0000  4 Be 2.42-2.51
Au 0.0000 0.2688 0.0000  4 Be 2.42-2.51
Au 0.7312 0.7312 0.0000  4 Be 2.42-2.51
Au 0.6065 0.0000 0.5000  5 Be 2.58-2.70, 2 Au 2.85
Au 0.0000 0.6065 0.5000  5 Be 2.58-2.70, 2 Au 2.85
Au 0.3935 0.3935 0.5000  5 Be 2.58-2.70, 2 Au 2.85
Be 0.3333 0.6667 0.0000  9 Au 2.42-2.70
Be 0.6667 0.3333 0.0000  9 Au 2.42-2.70
Be 0.0000 0.0000 0.5000  9 Au 2.51-2.58



# BeAu

A relaxed structure of BeAu (PBE-GGA, Alexandria).

For the calculated formation energy, the calculation gives 0.306 eV per atom. As for the calculated volume: 142 Å³/cell.

Cell: 5.2132 5.2132 5.2132 Å, 90.00 90.00 90.00°
Last column: nearest neighbours and their distance in Å.
Sites, in units of the cell vectors:
Be 0.2500 0.2500 0.2500  4 Au 2.26
Be 0.2500 0.7500 0.7500  4 Au 2.26
Be 0.7500 0.2500 0.7500  4 Au 2.26
Be 0.7500 0.7500 0.2500  4 Au 2.26
Au 0.0000 0.0000 0.0000  4 Be 2.26
Au 0.0000 0.5000 0.5000  4 Be 2.26
Au 0.5000 0.0000 0.5000  4 Be 2.26
Au 0.5000 0.5000 0.0000  4 Be 2.26



# BeAu2

A relaxed structure of BeAu2 (PBE-GGA, Alexandria).

For the calculated formation energy, the calculation gives -0.020 eV per atom. As for the calculated volume: 46 Å³/cell. The distance to the lowest polymorph of the same formula comes out at 108 meV per atom.

Cell: 3.9957 3.9965 3.3509 Å, 89.99 90.00 119.99°
Last column: nearest neighbours and their distance in Å.
Sites, in units of the cell vectors:
Be 0.0000 0.0000 0.0000  6 Au 2.46
Au 0.6666 0.3333 0.2515  3 Be 2.46
Au 0.3334 0.6667 0.7485  3 Be 2.46



# BeAu

A relaxed structure of BeAu (PBE-GGA, Alexandria).

For the calculated formation energy, the calculation gives -0.134 eV per atom. As for the calculated volume: 53 Å³/cell.

Cell: 3.0305 3.0305 5.7827 Å, 90.00 90.00 90.00°
Last column: nearest neighbours and their distance in Å.
Sites, in units of the cell vectors:
Be 0.2500 0.2500 0.6070  5 Au 2.40-2.44, 4 Be 2.47
Be 0.7500 0.7500 0.3930  5 Au 2.40-2.44, 4 Be 2.47
Au 0.2500 0.2500 0.1923  5 Be 2.40-2.44
Au 0.7500 0.7500 0.8077  5 Be 2.40-2.44



# Be7Au

A relaxed structure of Be7Au (PBE-GGA, Alexandria).

For the calculated formation energy, the calculation gives 0.069 eV per atom. As for the calculated volume: 77 Å³/cell.

Cell: 4.7726 4.7726 4.7726 Å, 60.00 60.00 60.00°
Last column: nearest neighbours and their distance in Å.
Sites, in units of the cell vectors:
Be 0.5000 0.5000 0.0000  10 Be 2.39, 2 Au 2.39
Be 0.5000 0.0000 0.5000  10 Be 2.39, 2 Au 2.39
Be 0.5000 0.0000 0.0000  10 Be 2.39, 2 Au 2.39
Be 0.0000 0.0000 0.5000  10 Be 2.39, 2 Au 2.39
Be 0.0000 0.5000 0.0000  10 Be 2.39, 2 Au 2.39
Be 0.0000 0.5000 0.5000  10 Be 2.39, 2 Au 2.39
Be 0.5000 0.5000 0.5000  12 Be 2.39
Au 0.0000 0.0000 0.0000  12 Be 2.39



# Be5Au4

A relaxed structure of Be5Au4 (PBE-GGA, Alexandria).

For the calculated formation energy, the calculation gives -0.070 eV per atom. As for the calculated volume: 115 Å³/cell.

Cell: 5.9579 5.9579 5.9579 Å, 95.13 95.13 145.20°
Last column: nearest neighbours and their distance in Å.
Sites, in units of the cell vectors:
Au 0.7027 0.0000 0.7027  5 Be 2.39-2.46
Au 0.2973 0.0000 0.2973  5 Be 2.39-2.46
Au 0.0000 0.2973 0.2973  5 Be 2.39-2.46
Au 0.0000 0.7027 0.7027  5 Be 2.39-2.46
Be 0.0000 0.0000 0.0000  4 Au 2.39, 8 Be 2.46
Be 0.6486 0.3514 0.0000  4 Be 2.39-2.46, 4 Au 2.46
Be 0.3514 0.6486 0.0000  4 Be 2.39-2.46, 4 Au 2.46
Be 0.3514 0.3514 0.7028  4 Be 2.39-2.46, 4 Au 2.46
Be 0.6486 0.6486 0.2972  4 Be 2.39-2.46, 4 Au 2.46



# BeAu5

A relaxed structure of BeAu5 (PBE-GGA, Alexandria).

For the calculated formation energy, the calculation gives 0.412 eV per atom. As for the calculated volume: 121 Å³/cell. The distance to the lowest polymorph of the same formula comes out at 480 meV per atom.

Cell: 5.4091 5.4091 4.7855 Å, 90.00 90.00 120.00°
Last column: nearest neighbours and their distance in Å.
Sites, in units of the cell vectors:
Be 0.0000 0.0000 0.0000  6 Au 3.12
Au 0.3333 0.6667 0.0000  9 Au 2.86-3.12, 3 Be 3.12
Au 0.6667 0.3333 0.0000  9 Au 2.86-3.12, 3 Be 3.12
Au 0.5000 0.0000 0.5000  8 Au 2.70-2.86
Au 0.0000 0.5000 0.5000  8 Au 2.70-2.86
Au 0.5000 0.5000 0.5000  8 Au 2.70-2.86



Question: What is the calculated formation energy in the second record?
Answer: -0.107 eV per atom



Please write out number 8 again, unchanged.
# BeAu5

A relaxed structure of BeAu5 (PBE-GGA, Alexandria).

For the calculated formation energy, the calculation gives 0.412 eV per atom. As for the calculated volume: 121 Å³/cell. The distance to the lowest polymorph of the same formula comes out at 480 meV per atom.

Cell: 5.4091 5.4091 4.7855 Å, 90.00 90.00 120.00°
Last column: nearest neighbours and their distance in Å.
Sites, in units of the cell vectors:
Be 0.0000 0.0000 0.0000  6 Au 3.12
Au 0.3333 0.6667 0.0000  9 Au 2.86-3.12, 3 Be 3.12
Au 0.6667 0.3333 0.0000  9 Au 2.86-3.12, 3 Be 3.12
Au 0.5000 0.0000 0.5000  8 Au 2.70-2.86
Au 0.0000 0.5000 0.5000  8 Au 2.70-2.86
Au 0.5000 0.5000 0.5000  8 Au 2.70-2.86



Question: Look up the calculated volume of the fourth one.
Answer: 46 Å³/cell